# 1
! Y2TcOs GGA-PBE optimized geometry; values from VASP
&SYSTEM
  ibrav = 0, nat = 8, ntyp = 3
/
ATOMIC_SPECIES
Y 88.91 Y.upf
Tc 98.00 Tc.upf
Os 190.23 Os.upf
ATOMIC_POSITIONS angstrom
Y 1.9139 1.8558 -0.7244
Y 1.9721 -1.9139 3.6221
Y 1.9139 1.9721 2.1733
Y 1.8558 5.7418 0.7244
Tc 3.8279 0.0000 1.4488
Tc 0.0000 0.0000 2.8977
Os 0.0000 0.0000 0.0000
Os 0.0000 3.8279 1.4488
CELL_PARAMETERS angstrom
-3.8279 3.8279 2.8977
3.8279 -3.8279 2.8977
3.8279 3.8279 -2.8977
! Formation energy from the elements = 644 meV/atom
! VASP energy = -7.99 eV per atom
! Space group = I-42d, No. 122

# 2
! Y2TcOs GGA-PBE optimized geometry; values from VASP
&SYSTEM
  ibrav = 0, nat = 4, ntyp = 3
/
ATOMIC_SPECIES
Y 88.91 Y.upf
Tc 98.00 Tc.upf
Os 190.23 Os.upf
ATOMIC_POSITIONS angstrom
Y 1.5406 2.2310 0.0000
Y 1.5406 -2.2310 0.0000
Tc -0.5689 0.0000 1.4466
Os 2.5123 0.0000 1.4466
CELL_PARAMETERS angstrom
3.0812 -4.4621 0.0000
3.0812 4.4621 0.0000
-1.1378 0.0000 2.8932
! Formation energy from the elements = 317 meV/atom
! VASP energy = -8.31 eV per atom
! Space group = C2/m, No. 12

# 3
! Y3TcOs GGA-PBE optimized geometry; values from VASP
&SYSTEM
  ibrav = 0, nat = 5, ntyp = 3
/
ATOMIC_SPECIES
Y 88.91 Y.upf
Tc 98.00 Tc.upf
Os 190.23 Os.upf
ATOMIC_POSITIONS angstrom
Y 0.0000 0.0000 2.6511
Y 0.0000 2.6511 0.0000
Y 2.6511 0.0000 0.0000
Tc 2.6511 2.6511 2.6511
Os 0.0000 0.0000 0.0000
CELL_PARAMETERS angstrom
5.3023 0.0000 0.0000
0.0000 5.3023 0.0000
0.0000 0.0000 5.3023
! Formation energy from the elements = 645 meV/atom
! VASP energy = -7.55 eV per atom
! Distance to the lowest polymorph of the same formula = 0.0000 eV/atom
! Space group = Pm-3m, No. 221

# 4
! YTc2Os2 GGA-PBE optimized geometry; values from VASP
&SYSTEM
  ibrav = 0, nat = 10, ntyp = 3
/
ATOMIC_SPECIES
Y 88.91 Y.upf
Tc 98.00 Tc.upf
Os 190.23 Os.upf
ATOMIC_POSITIONS angstrom
Y 0.0000 0.0000 0.0000
Y 3.8792 3.8792 0.0000
Tc 0.9300 2.9492 0.0000
Tc 2.9492 6.8284 0.0000
Tc 4.8092 0.9300 0.0000
Tc 6.8284 4.8092 0.0000
Os 1.3215 5.2007 1.3942
Os 2.5577 1.3215 1.3942
Os 5.2007 6.4369 1.3942
Os 6.4369 2.5577 1.3942
CELL_PARAMETERS angstrom
7.7584 0.0000 0.0000
0.0000 7.7584 0.0000
0.0000 0.0000 2.7884
! Formation energy from the elements = 77 meV/atom
! VASP energy = -9.85 eV per atom
! Distance to the lowest polymorph of the same formula = 0.1104 eV/atom
! Space group = P4/mbm, No. 127

# 5
! Y2TcOs GGA-PBE optimized geometry; values from VASP
&SYSTEM
  ibrav = 0, nat = 4, ntyp = 3
/
ATOMIC_SPECIES
Y 88.91 Y.upf
Tc 98.00 Tc.upf
Os 190.23 Os.upf
ATOMIC_POSITIONS angstrom
Y 0.0000 0.0000 1.6992
Y 0.0000 0.0000 5.2322
Tc 1.7087 1.7087 3.4657
Os 1.7087 1.7087 0.0000
CELL_PARAMETERS angstrom
3.4175 0.0000 0.0000
0.0000 3.4175 0.0000
0.0000 0.0000 6.9314
! Formation energy from the elements = 137 meV/atom
! VASP energy = -8.49 eV per atom
! Space group = P4/mmm, No. 123

# 6
! Y2TcOs GGA-PBE optimized geometry; values from VASP
&SYSTEM
  ibrav = 0, nat = 4, ntyp = 3
/
ATOMIC_SPECIES
Y 88.91 Y.upf
Tc 98.00 Tc.upf
Os 190.23 Os.upf
ATOMIC_POSITIONS angstrom
Y 0.0000 0.0000 6.4822
Y 0.0000 0.0000 19.4146
Tc 0.0000 0.0000 0.0000
Os 0.0000 0.0000 12.9484
CELL_PARAMETERS angstrom
1.6608 0.9589 8.6323
-1.6608 0.9589 8.6323
0.0000 -1.9177 8.6323
! Formation energy from the elements = 428 meV/atom
! VASP energy = -8.20 eV per atom
! Space group = R-3m, No. 166

# 7
! Y2TcOs GGA-PBE optimized geometry; values from VASP
&SYSTEM
  ibrav = 0, nat = 4, ntyp = 3
/
ATOMIC_SPECIES
Y 88.91 Y.upf
Tc 98.00 Tc.upf
Os 190.23 Os.upf
ATOMIC_POSITIONS angstrom
Y 0.0000 0.0000 0.0000
Y 1.5602 1.5602 3.2985
Tc 1.5602 1.5602 6.8069
Os 0.0000 0.0000 5.3726
CELL_PARAMETERS angstrom
3.1203 0.0000 0.0000
0.0000 3.1203 0.0000
0.0000 0.0000 8.9211
! Formation energy from the elements = 57 meV/atom
! VASP energy = -8.57 eV per atom
! Space group = P4mm, No. 99

# 8
! YTc2Os2 GGA-PBE optimized geometry; values from VASP
&SYSTEM
  ibrav = 0, nat = 10, ntyp = 3
/
ATOMIC_SPECIES
Y 88.91 Y.upf
Tc 98.00 Tc.upf
Os 190.23 Os.upf
ATOMIC_POSITIONS angstrom
Y 0.0000 0.0000 0.0000
Y 3.8693 3.8693 0.0000
Tc 1.3179 2.5514 1.4005
Tc 2.5514 6.4207 1.4005
Tc 5.1872 1.3179 1.4005
Tc 6.4207 5.1872 1.4005
Os 0.9418 4.8111 0.0000
Os 2.9275 0.9418 0.0000
Os 4.8111 6.7967 0.0000
Os 6.7967 2.9275 0.0000
CELL_PARAMETERS angstrom
7.7386 0.0000 0.0000
0.0000 7.7386 0.0000
0.0000 0.0000 2.8009
! Formation energy from the elements = 78 meV/atom
! VASP energy = -9.85 eV per atom
! Distance to the lowest polymorph of the same formula = 0.1117 eV/atom
! Space group = P4/mbm, No. 127